This record from the Alexandria database describes a crystal of LaRe2Au relaxed with PBEsol. The functional is meta-GGA SCAN.

## Properties
Its total energy is -63.15 eV/atom. As for the energy above the most stable polymorph in this dataset: 0.0000 eV per atom. The calculation puts the formation enthalpy at 0 K at 45 kJ/mol of atoms.

Cell lengths 3.2028, 4.6766, 9.6131 Å; angles 90.00, 90.00, 90.00 degrees
Closest atoms and distances in Å follow each position.
Space group Cmm2 (No. 35)
Symmetry-distinct sites (fractional):
1 La 0.0000 0.0000 0.0000  4 La 2.83, 2 Re 3.03, 2 Au 3.17
2 Re 0.0000 0.0000 0.4735  6 Re 2.55-2.83, 2 Au 2.82
3 Re 0.0000 0.5000 0.2673  6 Re 2.55-2.83
4 Au 0.0000 0.5000 0.7150  2 Re 2.82, 4 Au 2.83